# 1
# BaNiTe2

BaNiTe2 after structural relaxation (GGA-PBE, the Alexandria database).

Results
- calculated total energy (eV per atom) = -4.336

Lattice parameters (Å, degrees): 8.0862 8.0862 7.3383 90.00 90.00 90.00
With the nearest neighbours (Å) after each atom.
Space group I-42d (No. 122)
Symmetry-distinct sites (fractional):
Ba (0.0000, 0.0000, 0.0000)  8 Te 3.61-3.62, 2 Ni 3.67
Ni (0.0000, 0.0000, 0.5000)  4 Te 2.52
Te (0.1482, 0.2500, 0.6250)  2 Ni 2.52


# 2
# CrSnSe2

CrSnSe2 after structural relaxation (GGA-PBE, the Alexandria database).

Results
- calculated total energy (eV per atom) = -5.397

Lattice parameters (Å, degrees): 4.0019 7.4894 8.1862 69.20 87.86 86.21
With the nearest neighbours (Å) after each atom.
Space group P1 (No. 1)
Symmetry-distinct sites (fractional):
Cr (0.0000, 0.0000, 0.0000)  1 Cr 1.92
Cr (0.3538, 0.1667, 0.8958)  1 Cr 1.92
Sn (0.6210, 0.7953, 0.3965)  3 Se 2.81-2.83
Sn (0.6478, 0.6033, 0.9311)  4 Se 2.82-3.10
Se (0.1502, 0.6840, 0.2105)  1 Cr 2.43
Se (0.1735, 0.4993, 0.7377)  1 Cr 2.44
Se (0.6443, 0.1682, 0.1440)  2 Cr 2.38-2.39
Se (0.7115, 0.0053, 0.7483)  2 Cr 2.38-2.39


# 3
# U6SiC5

U6SiC5 after structural relaxation (GGA-PBE, the Alexandria database).

Results
- calculated total energy (eV per atom) = -9.784

Lattice parameters (Å, degrees): 6.4686 6.4686 10.8458 90.00 90.00 120.00
With the nearest neighbours (Å) after each atom.
Space group P6_3/mcm (No. 193)
Symmetry-distinct sites (fractional):
U (0.0000, 0.3718, 0.1246)  5 C 2.45-2.59, 1 U 2.72
Si (0.0000, 0.0000, 0.2500)  3 C 1.91
C (0.0000, 0.2954, 0.7500)  1 Si 1.91
C (0.3333, 0.6667, 0.0000)  6 U 2.45


# 4
# In3Te

In3Te after structural relaxation (GGA-PBE, the Alexandria database).

Results
- calculated total energy (eV per atom) = -2.909

Lattice parameters (Å, degrees): 5.3116 6.6730 6.6646 90.00 90.00 90.00
With the nearest neighbours (Å) after each atom.
Space group Pmmn (No. 59, origin choice 2)
Symmetry-distinct sites (fractional):
In (0.2500, 0.0052, 0.1487)  7 In 3.27-3.58, 3 Te 3.50-3.53
In (0.2500, 0.2500, 0.6713)  4 Te 3.26-3.36, 6 In 3.38-3.58
Te (0.2500, 0.7500, 0.6118)  10 In 3.26-3.53